# 1
# GGA-PBE LiPaPt2, relaxed
# ΔE_f ... -77.6 kJ per mole of atoms
# Uncorrected energy ... -6.677 eV per atom
# Polymorph energy (0 for the lowest one) ... 80 meV/atom
data_LiPaPt2
_chemical_formula_sum 'Li4 Pa4 Pt8'
_cell_length_a 6.704
_cell_length_b 6.704
_cell_length_c 6.704
_cell_angle_alpha 90.00
_cell_angle_beta 90.00
_cell_angle_gamma 90.00
_space_group_name_H-M_alt 'F m -3 m'
_space_group_IT_number 225
_space_group_name_Hall '-F 4 2 3'
loop_
_atom_site_label
_atom_site_type_symbol
_atom_site_fract_x
_atom_site_fract_y
_atom_site_fract_z
Li1 Li 0.000 0.000 0.000
Pa1 Pa 0.000 0.000 0.500
Pt1 Pt 0.250 0.250 0.250

=====

# 2
# GGA-PBE Y2ErSe, relaxed
# Uncorrected energy ... -6.070 eV per atom
# Polymorph energy (0 for the lowest one) ... 0 meV/atom
data_Y2ErSe
_chemical_formula_sum 'Y6 Er3 Se3'
_cell_length_a 3.7980
_cell_length_b 3.7980
_cell_length_c 27.9894
_cell_angle_alpha 90.00
_cell_angle_beta 90.00
_cell_angle_gamma 120.00
_space_group_name_H-M_alt 'R 3 m'
_space_group_IT_number 160
_space_group_name_Hall 'R 3 -2"'
loop_
_atom_site_label
_atom_site_type_symbol
_atom_site_fract_x
_atom_site_fract_y
_atom_site_fract_z
Y1 Y 0.0000 0.0000 0.0000
Y2 Y 0.0000 0.0000 0.2011
Er1 Er 0.0000 0.0000 0.4333
Se1 Se 0.0000 0.0000 0.6004

=====

# 3
# GGA-PBE Ce2Y3Ru4, relaxed
# ΔE_f ... -29.5 kJ per mole of atoms
# Uncorrected energy ... -7.902 eV per atom
# Polymorph energy (0 for the lowest one) ... 64 meV/atom
data_Ce2Y3Ru4
_chemical_formula_sum 'Ce8 Y12 Ru16'
_cell_length_a 14.393
_cell_length_b 9.983
_cell_length_c 5.937
_cell_angle_alpha 90.00
_cell_angle_beta 102.51
_cell_angle_gamma 90.00
_space_group_name_H-M_alt 'C 1 2/c 1'
_space_group_IT_number 15
loop_
_space_group_symop_operation_xyz
'x,y,z'
'-x,-y,-z'
'-x,y,-z+1/2'
'x,-y,z+1/2'
'x+1/2,y+1/2,z'
'-x+1/2,-y+1/2,-z'
'-x+1/2,y+1/2,-z+1/2'
'x+1/2,-y+1/2,z+1/2'
loop_
_atom_site_label
_atom_site_type_symbol
_atom_site_fract_x
_atom_site_fract_y
_atom_site_fract_z
Ce1 Ce 0.189 0.102 0.467
Y1 Y 0.000 0.127 0.750
Y2 Y 0.096 0.391 0.099
Ru1 Ru 0.127 0.314 0.616
Ru2 Ru 0.202 0.138 0.994

=====

# 4
# GGA-PBE LiZn2Ni4, relaxed
# ΔE_f ... 5.6 kJ per mole of atoms
# Uncorrected energy ... -3.883 eV per atom
# Polymorph energy (0 for the lowest one) ... 0 meV/atom
data_LiZn2Ni4
_chemical_formula_sum 'Li2 Zn4 Ni8'
_cell_length_a 4.902
_cell_length_b 4.902
_cell_length_c 7.378
_cell_angle_alpha 90.00
_cell_angle_beta 90.00
_cell_angle_gamma 90.00
_space_group_name_H-M_alt 'I 4/m m m'
_space_group_IT_number 139
_space_group_name_Hall '-I 4 2'
loop_
_atom_site_label
_atom_site_type_symbol
_atom_site_fract_x
_atom_site_fract_y
_atom_site_fract_z
Li1 Li 0.000 0.000 0.000
Zn1 Zn 0.000 0.500 0.000
Ni1 Ni 0.250 0.250 0.250

=====

# 5
# GGA-PBE LiZn2AsO6, relaxed
# Uncorrected energy ... -5.145 eV per atom
data_LiZn2AsO6
_chemical_formula_sum 'Li4 Zn8 As4 O24'
_cell_length_a 10.147
_cell_length_b 10.358
_cell_length_c 6.203
_cell_angle_alpha 90.00
_cell_angle_beta 116.44
_cell_angle_gamma 90.00
_space_group_name_H-M_alt 'C 1 2/c 1'
_space_group_IT_number 15
loop_
_space_group_symop_operation_xyz
'x,y,z'
'-x,-y,-z'
'-x,y,-z+1/2'
'x,-y,z+1/2'
'x+1/2,y+1/2,z'
'-x+1/2,-y+1/2,-z'
'-x+1/2,y+1/2,-z+1/2'
'x+1/2,-y+1/2,z+1/2'
loop_
_atom_site_label
_atom_site_type_symbol
_atom_site_fract_x
_atom_site_fract_y
_atom_site_fract_z
Li1 Li 0.000 0.129 0.250
Zn1 Zn 0.156 0.409 0.090
As1 As 0.000 0.150 0.750
O1 O 0.061 0.237 0.015
O2 O 0.082 0.473 0.315
O3 O 0.133 0.047 0.749

=====

# 6
# GGA-PBE NbGa2F2, relaxed
# Uncorrected energy ... -4.857 eV per atom
# Polymorph energy (0 for the lowest one) ... 0 meV/atom
data_NbGa2F2
_chemical_formula_sum 'Nb2 Ga4 F4'
_cell_length_a 6.955
_cell_length_b 6.955
_cell_length_c 3.063
_cell_angle_alpha 90.00
_cell_angle_beta 90.00
_cell_angle_gamma 90.00
_space_group_name_H-M_alt 'P 4/m b m'
_space_group_IT_number 127
_space_group_name_Hall '-P 4 2ab'
loop_
_atom_site_label
_atom_site_type_symbol
_atom_site_fract_x
_atom_site_fract_y
_atom_site_fract_z
Nb1 Nb 0.000 0.000 0.000
Ga1 Ga 0.214 0.286 0.500
F1 F 0.128 0.628 0.000

=====

# 7
# GGA-PBE KNa12Hg5, relaxed
# ΔE_f ... -12.1 kJ per mole of atoms
# Uncorrected energy ... -1.150 eV per atom
data_KNa12Hg5
_chemical_formula_sum 'K2 Na24 Hg10'
_cell_length_a 9.495
_cell_length_b 10.312
_cell_length_c 12.191
_cell_angle_alpha 90.00
_cell_angle_beta 90.00
_cell_angle_gamma 90.00
_space_group_name_H-M_alt 'I m m m'
_space_group_IT_number 71
_space_group_name_Hall '-I 2 2'
loop_
_atom_site_label
_atom_site_type_symbol
_atom_site_fract_x
_atom_site_fract_y
_atom_site_fract_z
K1 K 0.000 0.000 0.000
Na1 Na 0.000 0.307 0.183
Na2 Na 0.179 0.270 0.500
Na3 Na 0.196 0.000 0.270
Hg1 Hg 0.000 0.000 0.500
Hg2 Hg 0.000 0.500 0.378
Hg3 Hg 0.156 0.500 0.000

=====

# 8
# GGA-PBE K2CoOs, relaxed
# ΔE_f ... 103.1 kJ per mole of atoms
# Uncorrected energy ... -4.064 eV per atom
# Polymorph energy (0 for the lowest one) ... 319 meV/atom
data_K2CoOs
_chemical_formula_sum 'K4 Co2 Os2'
_cell_length_a 3.893
_cell_length_b 5.710
_cell_length_c 10.145
_cell_angle_alpha 90.00
_cell_angle_beta 90.00
_cell_angle_gamma 90.00
_space_group_name_H-M_alt 'I m m 2'
_space_group_IT_number 44
loop_
_space_group_symop_operation_xyz
'x,y,z'
'-x,-y,z'
'-x,y,z'
'x,-y,z'
'x+1/2,y+1/2,z+1/2'
'-x+1/2,-y+1/2,z+1/2'
'-x+1/2,y+1/2,z+1/2'
'x+1/2,-y+1/2,z+1/2'
loop_
_atom_site_label
_atom_site_type_symbol
_atom_site_fract_x
_atom_site_fract_y
_atom_site_fract_z
K1 K 0.000 0.000 0.000
K2 K 0.000 0.500 0.197
Co1 Co 0.000 0.500 0.791
Os1 Os 0.000 0.000 0.394

=====

# 9
# GGA-PBE Ca3Pr3YTe8, relaxed
# Uncorrected energy ... -4.987 eV per atom
data_Ca3Pr3YTe8
_chemical_formula_sum 'Ca9 Pr9 Y3 Te24'
_cell_length_a 8.9607
_cell_length_b 8.9607
_cell_length_c 22.2915
_cell_angle_alpha 90.00
_cell_angle_beta 90.00
_cell_angle_gamma 120.00
_space_group_name_H-M_alt 'R -3 m'
_space_group_IT_number 166
_space_group_name_Hall '-R 3 2"'
loop_
_atom_site_label
_atom_site_type_symbol
_atom_site_fract_x
_atom_site_fract_y
_atom_site_fract_z
Ca1 Ca 0.0000 0.5000 0.0000
Pr1 Pr 0.0000 0.5000 0.5000
Y1 Y 0.0000 0.0000 0.5000
Te1 Te 0.0000 0.0000 0.2522
Te2 Te 0.0067 0.5034 0.2496

=====

# 10
# GGA-PBE AlInOs2, relaxed
# ΔE_f ... 10.2 kJ per mole of atoms
# Uncorrected energy ... -7.130 eV per atom
# Polymorph energy (0 for the lowest one) ... 0 meV/atom
data_AlInOs2
_chemical_formula_sum 'Al1 In1 Os2'
_cell_length_a 2.853
_cell_length_b 2.853
_cell_length_c 8.247
_cell_angle_alpha 90.00
_cell_angle_beta 90.00
_cell_angle_gamma 90.00
_space_group_name_H-M_alt 'P 4 m m'
_space_group_IT_number 99
loop_
_space_group_symop_operation_xyz
'x,y,z'
'-y,x,z'
'-x,-y,z'
'y,-x,z'
'-x,y,z'
'y,x,z'
'x,-y,z'
'-y,-x,z'
loop_
_atom_site_label
_atom_site_type_symbol
_atom_site_fract_x
_atom_site_fract_y
_atom_site_fract_z
Al1 Al 0.000 0.000 0.000
In1 In 0.500 0.500 0.318
Os1 Os 0.000 0.000 0.581
Os2 Os 0.500 0.500 0.785

=====

# 11
# GGA-PBE RbPrTe, relaxed
# Uncorrected energy ... -3.794 eV per atom
data_RbPrTe
_chemical_formula_sum 'Rb2 Pr2 Te2'
_cell_length_a 4.919
_cell_length_b 4.919
_cell_length_c 9.861
_cell_angle_alpha 90.00
_cell_angle_beta 90.00
_cell_angle_gamma 90.00
_space_group_name_H-M_alt 'P 4/n m m'
_space_group_IT_number 129
loop_
_space_group_symop_operation_xyz
'x,y,z'
'-x,-y,-z'
'-y+1/2,x,z'
'y+1/2,-x,-z'
'-x+1/2,-y+1/2,z'
'x+1/2,y+1/2,-z'
'y,-x+1/2,z'
'-y,x+1/2,-z'
'x+1/2,-y,-z'
'-x+1/2,y,z'
'-y,-x,-z'
'y,x,z'
'-x,y+1/2,-z'
'x,-y+1/2,z'
'y+1/2,x+1/2,-z'
'-y+1/2,-x+1/2,z'
loop_
_atom_site_label
_atom_site_type_symbol
_atom_site_fract_x
_atom_site_fract_y
_atom_site_fract_z
Rb1 Rb 0.250 0.250 0.137
Pr1 Pr 0.250 0.750 0.500
Te1 Te 0.250 0.250 0.734

=====

Listing M_tot for the structures above in their given order: 0.000; 0.094; 0.000; 0.000; 0.000; 0.000; 0.000; 0.295; 0.000; 0.000; 0.279 μB/atom.
Listing DOS at the Fermi energy for the structures above in their given order: 5.748; 3.964; 5.391; 5.799; 0.000; 3.817; 7.829; 4.658; 4.862; 1.241; 2.182 states/eV/f.u..